Here is a geometry-optimized Ac2Al4Pt3Au structure from the Alexandria database. Energies are from PBE-GGA.

a = 4.466 Å, b = 4.466 Å, c = 10.521 Å
α = 90.00°, β = 90.00°, γ = 90.00°
Fractional positions:
1 Au 0.500 0.500 0.500
2 Al 0.000 0.000 0.000
3 Al 0.000 0.500 0.374
4 Al 0.500 0.500 0.000
5 Al 0.500 0.000 0.626
6 Ac 0.000 0.500 0.754
7 Ac 0.500 0.000 0.246
8 Pt 0.000 0.500 0.129
9 Pt 0.500 0.000 0.871
10 Pt 0.000 0.000 0.500

Results
* uncorrected energy: -5.45 eV/atom
* symmetry: P-4m2 (115)
* energy of formation: -994 meV/atom
* theoretical density: 10.64 g/cm³



Here is a geometry-optimized KAl4Au structure from the Alexandria database. Energies are from PBE-GGA.

a = 5.621 Å, b = 5.621 Å, c = 5.621 Å
α = 60.00°, β = 60.00°, γ = 60.00°
Fractional positions:
1 Al 0.375 0.375 0.375
2 Al 0.375 0.375 0.876
3 Al 0.876 0.375 0.375
4 Al 0.375 0.876 0.375
5 Au 0.750 0.750 0.750
6 K 0.000 0.000 0.000

Results
* uncorrected energy: -3.02 eV/atom
* symmetry: F-43m (216)
* energy of formation: 204 meV/atom
* theoretical density: 4.55 g/cm³



Here is a geometry-optimized BiSbBr2 structure from the Alexandria database. Energies are from PBE-GGA.

a = 5.406 Å, b = 5.406 Å, c = 5.406 Å
α = 60.00°, β = 60.00°, γ = 60.00°
Fractional positions:
1 Br 0.250 0.250 0.250
2 Br 0.750 0.750 0.750
3 Sb 0.000 0.000 0.000
4 Bi 0.500 0.500 0.500

Results
* energy relative to the lowest polymorph listed for this composition: 0.343 eV per atom
* uncorrected energy: -2.63 eV/atom
* symmetry: Fm-3m (225)
* uncorrected formation energy: 0.84 eV per formula unit
* theoretical density: 7.29 g/cm³



Here is a geometry-optimized CeGdMgGe structure from the Alexandria database. Energies are from PBE-GGA.

a = 5.213 Å, b = 5.213 Å, c = 5.213 Å
α = 60.00°, β = 60.00°, γ = 60.00°
Last column: magnetic moment on the atom in μB.
Fractional positions:
1 Ge 0.250 0.250 0.250  -0.04
2 Gd 0.500 0.500 0.500  7.13
3 Ce 0.000 0.000 0.000  0.73
4 Mg 0.750 0.750 0.750  0.00

Results
* uncorrected energy: -6.87 eV/atom
* symmetry: F-43m (216)
* energy of formation: -314 meV/atom
* theoretical density: 6.54 g/cm³



Here is a geometry-optimized Li2MgTa structure from the Alexandria database. Energies are from PBE-GGA.

a = 2.712 Å, b = 4.478 Å, c = 5.915 Å
α = 90.00°, β = 90.00°, γ = 90.00°
Fractional positions:
1 Li 0.000 0.000 0.991
2 Li 0.000 0.000 0.509
3 Ta 0.500 0.500 0.750
4 Mg 0.500 0.500 0.250

Results
* uncorrected energy: -3.92 eV/atom
* symmetry: Pmmm (47)
* energy of formation: 398 meV/atom
* theoretical density: 5.07 g/cm³



Here is a geometry-optimized KNiPt2 structure from the Alexandria database. Energies are from PBE-GGA.

a = 4.863 Å, b = 4.863 Å, c = 4.863 Å
α = 127.49°, β = 127.49°, γ = 77.45°
Last column: magnetic moment on the atom in μB.
Fractional positions:
1 K 0.500 0.500 0.000  -0.01
2 Pt 0.250 0.750 0.500  0.15
3 Pt 0.000 0.000 0.000  0.20
4 Ni 0.750 0.250 0.500  0.66

Results
* energy relative to the lowest polymorph listed for this composition: 0.527 eV per atom
* uncorrected energy: -4.11 eV/atom
* symmetry: I-4m2 (119)
* energy of formation: 626 meV/atom
* theoretical density: 11.54 g/cm³



Here is a geometry-optimized Cs3CeCd2O6 structure from the Alexandria database. Energies are from PBE-GGA.

a = 6.281 Å, b = 6.281 Å, c = 7.074 Å
α = 97.30°, β = 97.30°, γ = 121.64°
Last column: magnetic moment on the atom in μB.
Fractional positions:
1 Cs 0.828 0.172 0.500  0.01
2 Cs 0.500 0.500 0.500  0.00
3 Cs 0.172 0.828 0.500  0.01
4 Ce 0.000 0.000 0.000  -0.03
5 Cd 0.332 0.668 0.000  0.02
6 Cd 0.668 0.332 0.000  0.02
7 O 0.250 0.250 0.819  0.16
8 O 0.068 0.384 0.171  0.16
9 O 0.750 0.750 0.181  0.16
10 O 0.616 0.932 0.829  0.16
11 O 0.384 0.068 0.171  0.16
12 O 0.932 0.616 0.829  0.16

Results
* uncorrected energy: -4.88 eV/atom
* symmetry: C2/m (12)
* uncorrected formation energy: -18.51 eV per formula unit
* theoretical density: 6.22 g/cm³



Here is a geometry-optimized Ca3GaBi structure from the Alexandria database. Energies are from PBE-GGA.

a = 5.974 Å, b = 5.974 Å, c = 5.974 Å
α = 90.00°, β = 90.00°, γ = 90.00°
Fractional positions:
1 Ga 0.500 0.500 0.500
2 Bi 0.000 0.000 0.000
3 Ca 0.000 0.500 0.000
4 Ca 0.500 0.000 0.000
5 Ca 0.000 0.000 0.500

Results
* energy relative to the lowest polymorph listed for this composition: 0.462 eV per atom
* uncorrected energy: -2.67 eV/atom
* symmetry: Pm-3m (221)
* energy of formation: -89 meV/atom
* theoretical density: 3.11 g/cm³